# 1
Density functional theory data (GGA-PBE) for crystalline Al3Ir at its relaxed geometry.

The structure in POSCAR format:
```
Al3Ir
1.0
7.110 0.000 0.000
0.000 7.688 0.000
0.000 0.000 4.737
Al Ir
12 4
Cartesian
0.087 1.922 0.324
1.183 0.488 2.878
1.183 3.356 2.878
2.372 4.332 0.509
2.372 7.200 0.509
3.468 5.766 2.693
3.642 1.922 2.045
4.738 0.488 4.228
4.738 3.356 4.228
5.927 4.332 1.860
5.927 7.200 1.860
7.023 5.766 4.413
0.945 5.766 2.095
2.610 1.922 4.463
4.500 5.766 0.274
6.165 1.922 2.643
```

Calculated values
The symmetry is Pnma. The calculation puts the formation energy at -0.666 eV per atom. The density of states at the Fermi level is 5.1 states/eV/cell.

=====

# 2
Density functional theory data (GGA-PBE) for crystalline CdTc4Br at its relaxed geometry.

The structure in POSCAR format:
```
CdTc4Br
1.0
0.000 3.728 3.728
3.728 0.000 3.728
3.728 3.728 0.000
Cd Tc Br
1 4 1
Cartesian
0.000 0.000 0.000
4.650 2.807 2.807
2.807 4.650 2.807
2.807 2.807 4.650
4.650 4.650 4.650
1.864 1.864 1.864
```

Calculated values
The symmetry is F-43m. The density of states at the Fermi level is 5.0 states/eV/cell. The raw formation energy comes out at 5.27 eV/f.u.

=====

# 3
Density functional theory data (GGA-PBE) for crystalline B2PdF at its relaxed geometry.

The structure in POSCAR format:
```
B2PdF
1.0
-2.428 2.428 4.445
2.428 -2.428 4.445
2.428 2.428 -4.445
B Pd F
4 2 2
Cartesian
3.643 1.180 -1.111
1.180 1.214 1.111
-1.214 1.249 3.333
1.249 1.214 5.556
0.000 0.000 0.000
0.000 2.428 2.222
2.428 0.000 2.222
0.000 0.000 4.445
```

Calculated values
The symmetry is I-42d. The value obtained for the excess energy over the best structure of this formula in the dataset is 0.0 kJ/mol of formula units. The density of states at the Fermi level is 3.8 states/eV/cell. The raw formation energy comes out at 2.22 eV/f.u.

=====

# 4
Density functional theory data (GGA-PBE) for crystalline K2RbTlPt at its relaxed geometry.

The structure in POSCAR format:
```
K2RbTlPt
1.0
6.363 0.000 0.000
0.000 6.363 0.000
0.000 0.000 5.371
K Rb Tl Pt
2 1 1 1
Cartesian
0.000 3.182 0.000
3.182 0.000 0.000
0.000 0.000 2.686
3.182 3.182 2.686
3.182 3.182 0.000
```

Calculated values
The symmetry is P4/mmm. The value obtained for the excess energy over the best structure of this formula in the dataset is 0.0 kJ/mol of formula units. The calculation puts the formation energy at -0.075 eV per atom. The density of states at the Fermi level is 2.6 states/eV/cell.

=====

# 5
Density functional theory data (GGA-PBE) for crystalline BePOsCl2 at its relaxed geometry.

The structure in POSCAR format:
```
BePOsCl2
1.0
3.884 0.000 0.000
0.000 3.884 0.000
0.000 0.000 7.815
Be P Os Cl
1 1 1 2
Cartesian
0.000 0.000 0.000
0.000 0.000 3.907
1.942 1.942 3.907
0.000 1.942 0.000
1.942 0.000 0.000
```

Calculated values
The symmetry is P4/mmm. The value obtained for the excess energy over the best structure of this formula in the dataset is 0.0 kJ/mol of formula units. The density of states at the Fermi level is 2.2 states/eV/cell. The raw formation energy comes out at 3.84 eV/f.u.

=====

# 6
Density functional theory data (GGA-PBE) for crystalline Li2TmMg at its relaxed geometry.

The structure in POSCAR format:
```
Li2TmMg
1.0
1.625 0.938 10.467
-1.625 0.938 10.467
0.000 -1.876 10.467
Li Tm Mg
2 1 1
Cartesian
0.000 0.000 0.000
0.000 0.000 5.503
0.000 0.000 13.211
0.000 0.000 18.464
```

Calculated values
The symmetry is R3m. The value obtained for the excess energy over the best structure of this formula in the dataset is 12.6 kJ/mol of formula units. The calculation puts the formation energy at 0.104 eV per atom. The density of states at the Fermi level is 3.1 states/eV/cell.

=====

# 7
Density functional theory data (GGA-PBE) for crystalline LaGeAu3 at its relaxed geometry.

The structure in POSCAR format:
```
LaGeAu3
1.0
5.574 0.000 0.000
0.000 5.574 0.000
0.000 0.000 5.574
La Ge Au
1 1 3
Cartesian
0.000 0.000 0.000
2.787 2.787 2.787
0.000 0.000 2.787
0.000 2.787 0.000
2.787 0.000 0.000
```

Calculated values
The symmetry is Pm-3m. The value obtained for the excess energy over the best structure of this formula in the dataset is 582.1 kJ/mol of formula units. The calculation puts the formation energy at 0.634 eV per atom. The density of states at the Fermi level is 4.1 states/eV/cell.